[1]
DFT (PBE) results for an optimized crystal structure of Pm2Sm7Er2.

Unit cell a=10.001 b=6.361 c=6.361 alpha=113.63 beta=91.30 gamma=91.30
Atoms (fractional coordinates):
Sm 0.149 0.168 0.578
Er 0.500 0.727 0.273
Er 0.500 0.273 0.727
Sm 0.000 0.000 0.000
Pm 0.713 0.298 0.298
Pm 0.287 0.702 0.702
Sm 0.149 0.578 0.168
Sm 0.366 0.183 0.183
Sm 0.634 0.817 0.817
Sm 0.851 0.832 0.422
Sm 0.851 0.422 0.832


[2]
DFT (PBE) results for an optimized crystal structure of Pm7SmEr4.

Unit cell a=7.256 b=6.289 c=11.514 alpha=79.55 beta=50.95 gamma=90.03
Atoms (fractional coordinates):
Pm 0.084 0.280 0.664
Er 0.835 0.781 0.664
Sm 0.000 0.000 0.000
Pm 0.255 0.499 0.998
Pm 0.916 0.720 0.336
Pm 0.334 0.778 0.665
Er 0.588 0.278 0.666
Pm 0.745 0.501 0.002
Pm 0.666 0.222 0.335
Pm 0.500 0.000 0.000
Er 0.165 0.219 0.336
Er 0.412 0.722 0.334


[3]
DFT (PBE) results for an optimized crystal structure of Pm6Sm3Er.

Unit cell a=6.455 b=11.081 c=11.081 alpha=120.69 beta=90.00 gamma=90.00
Atoms (fractional coordinates):
Pm 0.366 0.058 0.476
Pm 0.555 0.288 0.373
Pm 0.651 0.277 0.723
Pm 0.555 0.627 0.712
Sm 0.464 0.943 0.711
Pm 0.866 0.942 0.524
Pm 0.866 0.476 0.058
Er 0.616 0.807 0.193
Pm 0.055 0.373 0.288
Sm 0.080 0.385 0.615
Pm 0.151 0.723 0.277
Sm 0.964 0.711 0.943
Sm 0.464 0.289 0.057
Pm 0.869 0.035 0.965
Pm 0.369 0.965 0.035
Sm 0.580 0.615 0.385
Pm 0.055 0.712 0.627
Pm 0.366 0.524 0.942
Er 0.116 0.193 0.807
Sm 0.964 0.057 0.289


[4]
DFT (PBE) results for an optimized crystal structure of Pm5Sm3Er3.

Unit cell a=5.524 b=9.751 c=9.751 alpha=120.00 beta=90.00 gamma=90.00
Atoms (fractional coordinates):
Er 0.500 0.632 0.632
Sm 0.000 0.000 0.567
Sm 0.000 0.567 0.000
Er 0.500 0.000 0.368
Er 0.500 0.368 0.000
Pm 0.500 0.000 0.731
Pm 0.500 0.269 0.269
Sm 0.000 0.433 0.433
Pm 0.500 0.731 0.000
Pm 0.500 0.667 0.333
Pm 0.500 0.333 0.667


Computed ΔH_f (0 K), in the same sequence as the records: 9.80, 0.12, 13.46, 73.74 kJ per mole of atoms.
Computed energy above the lowest structure with this stoichiometry, in the same sequence as the records: 0, 0, 0, 441 meV per atom.